Entry from the Alexandria database: crystalline ScFeCo3 at its relaxed geometry (PBE).

abc: 4.277 4.277 4.277
angles: 90.00 90.00 90.00
Each line ends with the local moment (μB).
Fractional coordinates of all 5 atoms:
Sc 0.500 0.500 0.500  -0.32
Fe 0.000 0.000 0.000  2.19
Co 0.000 0.000 0.500  1.88
Co 0.000 0.500 0.000  1.58
Co 0.500 0.000 0.000  1.23

Values from the calculation:
E_form in eV per atom: 0.55
Calculated total energy in eV/atom: -6.669
Calculated volume in Å³ per atom: 15.6
Symmetry: Pm-3m
N(E_F) in states/eV/f.u.: 4.44